GdHfPd: optimized geometry, PBE-GGA.

Total magnetic moment in Bohr magnetons per cell: 0.04
E in eV per atom: -6.744
Energy relative to the elements in eV/atom: -0.15
Energy above the lowest structure with this stoichiometry in eV per atom: 0.000

abc: 4.7273 4.7273 4.7273
angles: 60.00 60.00 60.00
Closest atoms and distances in Å follow each position.
Element x y z (fractional)
Pd (0.2500, 0.2500, 0.2500)  4 Gd 2.89, 4 Hf 2.89
Hf (0.0000, 0.0000, 0.0000)  4 Pd 2.89
Gd (0.5000, 0.5000, 0.5000)  4 Pd 2.89